Entry 1:
# meta-GGA SCAN K2ZrSe, PBEsol geometry
# Formation energy (no corrections)   -0.238 eV/atom
data_K2ZrSe
_chemical_formula_sum 'K2 Zr1 Se1'
_space_group_name_H-M_alt 'P 1 m 1'
_space_group_IT_number 6
_cell_length_a 3.5699
_cell_length_b 3.7394
_cell_length_c 11.0452
_cell_angle_alpha 90.00
_cell_angle_beta 98.45
_cell_angle_gamma 90.00
loop_
_space_group_symop_operation_xyz
'x,y,z'
'x,-y,z'
loop_
_atom_site_label
_atom_site_type_symbol
_atom_site_fract_x
_atom_site_fract_y
_atom_site_fract_z
K1 K 0.0000 0.0000 0.0000
K2 K 0.2787 0.5000 0.6182
Zr1 Zr 0.6515 0.0000 0.3353
Se1 Se 0.5792 0.5000 0.1741

***

Entry 2:
# meta-GGA SCAN IrPdS2Cl, PBEsol geometry
# Formation energy (no corrections)   1.170 eV/atom
data_IrPdS2Cl
_chemical_formula_sum 'Ir1 Pd1 S2 Cl1'
_space_group_name_H-M_alt 'P 4/m m m'
_space_group_IT_number 123
_space_group_name_Hall '-P 4 2'
_cell_length_a 4.5801
_cell_length_b 4.5801
_cell_length_c 4.5111
_cell_angle_alpha 90.00
_cell_angle_beta 90.00
_cell_angle_gamma 90.00
loop_
_atom_site_label
_atom_site_type_symbol
_atom_site_fract_x
_atom_site_fract_y
_atom_site_fract_z
Ir1 Ir 0.0000 0.0000 0.0000
Pd1 Pd 0.5000 0.5000 0.5000
S1 S 0.0000 0.5000 0.5000
Cl1 Cl 0.5000 0.5000 0.0000

***

Number 1: Fermi-level density of states 3.52 states/eV per cell. Number 2: Fermi-level density of states 3.95 states/eV per cell.